Record 1
LaNd2Se | the Alexandria database | PBE | optimized geometry; relative energy among the computed polymorphs = 0.00 eV per formula unit; formation energy (no corrections) = -3.25 eV per formula unit; SG = R-3m; crystal system = trigonal; ρ = 6.4 g cm⁻³; E = -21.19 eV/f.u.
1.0
-0.838 0.284 3.827
0.252 -3.170 2.306
9.229 1.174 3.949
Nd Se La
2 1 1
Cartesian
1.638 -0.546 2.415 Nd
7.005 -1.165 7.667 Nd
0.000 0.000 0.000 Se
4.322 -0.856 5.041 La

=====

Record 2
LaNd5Se8 | the Alexandria database | PBE | optimized geometry; formation energy (no corrections) = -26.38 eV per formula unit; SG = I-4; crystal system = tetragonal; ρ = 6.8 g cm⁻³; E = -83.02 eV/f.u.
1.0
7.776 0.007 -0.012
-2.624 7.320 0.012
-2.527 -3.698 6.357
La Nd Se
1 5 8
Cartesian
-1.264 0.889 4.771 La
6.432 2.224 0.784 Nd
3.924 5.457 1.533 Nd
2.656 2.336 3.974 Nd
2.624 -1.845 3.172 Nd
2.540 0.947 0.054 Nd
-1.066 5.393 0.160 Se
5.497 -1.945 4.596 Se
4.395 0.442 2.371 Se
1.617 -0.326 5.556 Se
1.553 3.572 1.459 Se
0.284 3.355 5.576 Se
0.534 0.456 2.381 Se
-2.316 3.571 3.327 Se